[1]
KScCr3: relaxed, PBE-GGA.

The structure in CIF format:
```
data_KScCr3
_cell_length_a 4.7582
_cell_length_b 4.7582
_cell_length_c 4.7582
_cell_angle_alpha 90.00
_cell_angle_beta 90.00
_cell_angle_gamma 90.00
_symmetry_space_group_name_H-M 'P m -3 m'
_symmetry_Int_Tables_number 221
_symmetry_space_group_name_Hall '-P 4 2 3'
loop_
_atom_site_label
_atom_site_type_symbol
_atom_site_fract_x
_atom_site_fract_y
_atom_site_fract_z
_atom_site_occupancy
K1 K 0.0000 0.0000 0.0000 1
Sc1 Sc 0.5000 0.5000 0.5000 1
Cr1 Cr 0.0000 0.0000 0.5000 1
```

Results
Formation energy = 2.1720 eV/atom
Calculated total energy = -5.0878 eV per atom
M_tot = 2.028 μB/atom
Energy relative to the lowest polymorph listed for this composition = 0.549 eV per atom
Volume = 107.73 Å³ per cell

=====

[2]
BaSrCaY: relaxed, PBE-GGA.

The structure in CIF format:
```
data_BaSrCaY
_cell_length_a 8.9609
_cell_length_b 8.9609
_cell_length_c 8.9609
_cell_angle_alpha 90.00
_cell_angle_beta 90.00
_cell_angle_gamma 90.00
_symmetry_space_group_name_H-M 'F -4 3 m'
_symmetry_Int_Tables_number 216
_symmetry_space_group_name_Hall 'F -4 2 3'
loop_
_atom_site_label
_atom_site_type_symbol
_atom_site_fract_x
_atom_site_fract_y
_atom_site_fract_z
_atom_site_occupancy
Ba1 Ba 0.0000 0.0000 0.0000 1
Sr1 Sr 0.2500 0.2500 0.7500 1
Ca1 Ca 0.0000 0.0000 0.5000 1
Y1 Y 0.2500 0.2500 0.2500 1
```

Results
Formation energy = 0.1798 eV/atom
Calculated total energy = -2.8377 eV per atom
M_tot = 0.000 μB/atom
Volume = 719.55 Å³ per cell

=====

[3]
Tm4PbN: relaxed, PBE-GGA.

The structure in CIF format:
```
data_Tm4PbN
_cell_length_a 15.5170
_cell_length_b 5.5909
_cell_length_c 7.0717
_cell_angle_alpha 90.00
_cell_angle_beta 107.36
_cell_angle_gamma 90.00
_symmetry_space_group_name_H-M 'C 1 2/c 1'
_symmetry_Int_Tables_number 15
_symmetry_space_group_name_Hall '-C 2yc'
loop_
_atom_site_label
_atom_site_type_symbol
_atom_site_fract_x
_atom_site_fract_y
_atom_site_fract_z
_atom_site_occupancy
Tm1 Tm 0.1166 0.0296 0.4206 1
Tm2 Tm 0.1942 0.4878 0.2024 1
Pb1 Pb 0.0000 0.4665 0.7500 1
N1 N 0.2500 0.2500 0.5000 1
```

Results
Calculated total energy = -5.6766 eV per atom
Uncorrected formation energy = -690 meV per atom
M_tot = 0.000 μB/atom
Energy relative to the lowest polymorph listed for this composition = 0.000 eV per atom
Volume = 585.56 Å³ per cell

=====

[4]
ErTh2Ru3: relaxed, PBE-GGA.

The structure in CIF format:
```
data_ErTh2Ru3
_cell_length_a 12.0328
_cell_length_b 5.6081
_cell_length_c 8.2712
_cell_angle_alpha 90.00
_cell_angle_beta 110.94
_cell_angle_gamma 90.00
_symmetry_space_group_name_H-M 'C 1 2/c 1'
_symmetry_Int_Tables_number 15
_symmetry_space_group_name_Hall '-C 2yc'
loop_
_atom_site_label
_atom_site_type_symbol
_atom_site_fract_x
_atom_site_fract_y
_atom_site_fract_z
_atom_site_occupancy
Er1 Er 0.0000 0.1576 0.2500 1
Th1 Th 0.1793 0.4857 0.0869 1
Ru1 Ru 0.0000 0.3383 0.7500 1
Ru2 Ru 0.1375 0.0136 0.5733 1
```

Results
Formation energy = -0.2867 eV/atom
Calculated total energy = -8.1583 eV per atom
M_tot = 0.000 μB/atom
Volume = 521.30 Å³ per cell